No. 1
PBE-GGA TiAl2OsBr, relaxed; final energy = -5.592 eV per atom; DOS(E_F) = 3.42 states/eV per cell; space-group type = P4/mmm, No. 123; E_form (uncorrected) = 0.32 eV per formula unit
1.0
4.849 0.000 0.000
0.000 4.792 0.000
0.000 0.000 4.849
Al Os Ti Br
2 1 1 1
Direct
0.000 0.000 0.500
0.500 0.000 0.000
0.000 0.000 0.000
0.000 0.500 0.000
0.500 0.500 0.500

***

No. 2
PBE-GGA AlP2Br, relaxed; final energy = -3.943 eV per atom; DOS(E_F) = 1.95 states/eV per cell; space-group type = P4/mmm, No. 123; energy relative to the lowest polymorph listed for this composition = 263 meV per atom; E_form (uncorrected) = 0.46 eV per formula unit
1.0
3.235 0.002 0.000
-0.001 3.235 0.000
0.000 0.000 8.397
P Br Al
2 1 1
Direct
0.000 0.000 0.385
0.000 0.000 0.115
0.500 0.500 0.750
0.500 0.500 0.250

***

No. 3
PBE-GGA AlPBr2, relaxed; final energy = -3.312 eV per atom; DOS(E_F) = 2.25 states/eV per cell; space-group type = R3m, No. 160; energy relative to the lowest polymorph listed for this composition = 405 meV per atom; E_form (uncorrected) = -0.75 eV per formula unit
1.0
-3.927 -5.257 5.357
-5.702 -5.951 1.956
-2.298 -7.670 2.764
Al P Br
1 1 2
Direct
0.774 0.774 0.774
0.472 0.472 0.472
0.218 0.218 0.218
0.036 0.036 0.036

***

No. 4
PBE-GGA AlP2Br, relaxed; final energy = -3.935 eV per atom; DOS(E_F) = 1.67 states/eV per cell; space-group type = P4mm, No. 99; energy relative to the lowest polymorph listed for this composition = 271 meV per atom; E_form (uncorrected) = 0.50 eV per formula unit
1.0
3.457 0.000 0.000
0.000 3.457 0.000
0.000 0.000 7.926
Al Br P
1 1 2
Direct
0.000 0.000 0.494
0.500 0.500 0.645
0.000 0.000 0.198
0.500 0.500 0.162

***

No. 5
PBE-GGA AlPBr2, relaxed; final energy = -3.717 eV per atom; DOS(E_F) = 0.00 states/eV per cell; space-group type = Cm, No. 8; energy relative to the lowest polymorph listed for this composition = 0 meV per atom; E_form (uncorrected) = -2.37 eV per formula unit
1.0
-2.731 -2.854 -0.708
0.473 -2.497 -3.106
4.318 -5.565 4.938
Al Br P
1 2 1
Direct
0.213 0.213 0.333
0.211 0.211 0.069
0.531 0.531 0.679
0.545 0.545 0.419

***

No. 6
PBE-GGA AlPBr2, relaxed; final energy = -2.523 eV per atom; DOS(E_F) = 2.61 states/eV per cell; space-group type = Fm-3m, No. 225; energy relative to the lowest polymorph listed for this composition = 1193 meV per atom; E_form (uncorrected) = 2.40 eV per formula unit
1.0
0.000 3.547 3.547
3.547 0.000 3.547
3.547 3.547 0.000
Br Al P
2 1 1
Direct
0.250 0.250 0.250
0.750 0.750 0.750
0.000 0.000 0.000
0.500 0.500 0.500

***

No. 7
PBE-GGA AlPBr2, relaxed; final energy = -2.790 eV per atom; DOS(E_F) = 1.75 states/eV per cell; space-group type = Pmmm, No. 47; energy relative to the lowest polymorph listed for this composition = 927 meV per atom; E_form (uncorrected) = 1.34 eV per formula unit
1.0
3.446 0.000 0.000
0.000 6.039 0.000
0.000 0.000 4.327
Br P Al
2 1 1
Direct
0.000 0.000 0.000
0.500 0.500 0.000
0.500 0.000 0.500
0.000 0.500 0.500

***

No. 8
PBE-GGA AlPBr2, relaxed; final energy = -2.726 eV per atom; DOS(E_F) = 3.00 states/eV per cell; space-group type = I-4m2, No. 119; energy relative to the lowest polymorph listed for this composition = 990 meV per atom; E_form (uncorrected) = 1.59 eV per formula unit
1.0
-3.133 -1.872 -5.976
-3.316 -5.798 -2.100
0.837 4.864 4.967
Al P Br
1 1 2
Direct
0.750 0.250 0.500
0.500 0.500 0.000
0.000 0.000 0.000
0.250 0.750 0.500

***

What is the DOS(E_F) in the second record?
1.95 states/eV per cell